(1)
Material: Ba2NiHgH
Method: DFT, PBE
State: optimized geometry

Lattice parameters (Å, degrees): 5.827 5.827 3.793 90.00 90.00 90.00
Space group P4/mmm (No. 123)
Inequivalent atoms, fractional coordinates:
Ba  0.000  0.500  0.000
Ni  0.000  0.000  0.500
Hg  0.500  0.500  0.500
H  0.000  0.000  0.000

Distance to the lowest polymorph of the same formula, meV/atom: 0
Total DFT energy (no corrections), Ha/atom: -0.105

---

(2)
Material: Mg2ZnCdAg
Method: DFT, PBE
State: optimized geometry

Lattice parameters (Å, degrees): 6.261 4.451 6.919 90.00 96.94 90.00
Space group P2_1/m (No. 11)
Inequivalent atoms, fractional coordinates:
Mg  0.031  0.250  0.352
Mg  0.462  0.250  0.156
Zn  0.364  0.750  0.452
Cd  0.146  0.750  0.071
Ag  0.265  0.250  0.734

Total DFT energy (no corrections), Ha/atom: -0.064
Formation enthalpy at 0 K, kJ/mol of atoms: -8.5

---

(3)
Material: In11S16
Method: DFT, PBE
State: optimized geometry

Lattice parameters (Å, degrees): 7.781 7.781 11.027 90.00 90.00 90.00
Space group P-4m2 (No. 115)
Inequivalent atoms, fractional coordinates:
In  0.000  0.000  0.000
In  0.000  0.268  0.623
In  0.000  0.500  0.256
In  0.252  0.500  0.867
S  0.000  0.226  0.383
S  0.000  0.264  0.870
S  0.238  0.500  0.636
S  0.264  0.500  0.112

ΔE_f (raw), meV/atom: -537
Total DFT energy (no corrections), Ha/atom: -0.151